{"formula": "PrHo3Tm6Th2", "functional": "PBE-GGA", "state": "relaxed", "lattice_angstrom": [[3.072, -5.315, 0.000], [3.072, 5.315, 0.000], [-2.048, 0.000, 11.437]], "species": ["Pr", "Ho", "Ho", "Ho", "Tm", "Tm", "Tm", "Tm", "Tm", "Tm", "Th", "Th"], "frac_coords": [[0.000, 0.000, 0.000], [0.166, 0.834, 0.500], [0.500, 0.500, 0.500], [0.834, 0.166, 0.500], [0.084, 0.422, 0.250], [0.254, 0.254, 0.750], [0.422, 0.084, 0.250], [0.578, 0.916, 0.750], [0.746, 0.746, 0.250], [0.916, 0.578, 0.750], [0.333, 0.667, 0.000], [0.667, 0.333, 0.000]], "dft_energy_ev_per_cell": -59.751, "volume_a3_per_fu": 373.5, "total_magnetization_mub_per_atom": 0.00}